1.
meta-GGA SCAN ScTa2Tl, single point on PBEsol structure; energy relative to the elements = 0.22 eV/atom; calculated volume = 19.2 Å³/atom
1.0
-3.001 2.902 0.808
0.140 -1.004 4.129
4.439 1.992 -1.855
Sc Ta Tl
1 2 1
Cartesian
0.004 2.921 0.710
0.000 0.000 0.000
1.575 0.969 2.371
-1.430 0.949 2.468


2.
meta-GGA SCAN ScTaTl3, single point on PBEsol structure; energy relative to the elements = 1.38 eV/atom; calculated volume = 29.8 Å³/atom
1.0
-4.420 1.607 2.445
1.523 -2.519 4.409
2.499 4.379 1.638
Sc Tl Ta
1 3 1
Cartesian
0.000 0.000 0.000
0.761 -1.259 2.204
1.249 2.189 0.819
-2.210 0.804 1.222
-0.199 1.734 4.246


3.
meta-GGA SCAN ScTaTl2, single point on PBEsol structure; energy relative to the elements = 0.20 eV/atom; calculated volume = 21.4 Å³/atom
1.0
3.066 0.000 -0.050
0.000 4.938 0.000
-0.443 0.000 5.672
Sc Ta Tl
1 1 2
Cartesian
1.533 2.469 -0.025
-0.222 2.469 2.836
2.079 0.000 4.175
0.544 0.000 1.446


4.
meta-GGA SCAN ScTaTl2, single point on PBEsol structure; energy relative to the elements = 0.11 eV/atom; calculated volume = 20.8 Å³/atom
1.0
4.153 0.000 0.000
0.000 4.153 0.000
-2.076 -2.076 4.821
Sc Ta Tl
1 1 2
Cartesian
2.076 2.076 0.000
0.000 2.076 2.410
0.000 0.000 0.000
2.076 0.000 2.410


5.
meta-GGA SCAN Sc2TaTl, single point on PBEsol structure; energy relative to the elements = 0.06 eV/atom; calculated volume = 20.8 Å³/atom
1.0
-2.930 0.297 -1.223
0.753 -3.265 -2.597
-2.165 -3.875 4.245
Sc Ta Tl
2 1 1
Cartesian
-2.161 -3.867 4.236
-1.664 -2.514 -0.782
-1.052 -1.882 2.062
-2.714 -4.392 1.276


6.
meta-GGA SCAN ScTa2Tl, single point on PBEsol structure; energy relative to the elements = 0.10 eV/atom; calculated volume = 19.1 Å³/atom
1.0
3.800 0.000 0.000
0.000 4.275 0.000
0.000 0.000 4.704
Sc Ta Tl
1 2 1
Cartesian
0.000 2.137 2.352
0.000 0.000 0.000
1.900 2.137 0.000
1.900 0.000 2.352


7.
meta-GGA SCAN ScTaTl2, single point on PBEsol structure; energy relative to the elements = 0.07 eV/atom; calculated volume = 20.5 Å³/atom
1.0
-1.895 -1.673 1.745
-1.693 -0.663 -2.475
4.879 -7.041 -1.451
Sc Ta Tl
1 1 2
Cartesian
-1.794 -1.168 -0.365
0.645 -4.688 -1.091
3.645 -5.260 -1.084
1.234 -1.781 -0.367


8.
meta-GGA SCAN ScTa2Tl, single point on PBEsol structure; energy relative to the elements = 0.36 eV/atom; calculated volume = 19.7 Å³/atom
1.0
2.908 0.000 0.000
0.000 2.908 0.000
0.000 0.000 9.301
Sc Ta Tl
1 2 1
Cartesian
1.454 1.454 4.651
0.000 0.000 7.007
0.000 0.000 2.294
1.454 1.454 0.000


9.
meta-GGA SCAN Sc2TaTl, single point on PBEsol structure; energy relative to the elements = 0.07 eV/atom; calculated volume = 21.2 Å³/atom
1.0
-0.457 -2.626 -1.429
2.863 -0.802 0.557
-2.639 -3.879 7.974
Sc Ta Tl
2 1 1
Cartesian
-2.606 -3.831 7.875
0.491 -2.760 1.714
-1.319 -1.939 3.985
-0.758 -4.597 5.489


10.
meta-GGA SCAN ScTaTl2, single point on PBEsol structure; energy relative to the elements = 0.14 eV/atom; calculated volume = 20.4 Å³/atom
1.0
-3.646 1.708 1.321
-1.829 -0.894 -3.892
-1.290 -3.919 1.507
Sc Ta Tl
1 1 2
Cartesian
-3.383 -1.553 -0.532
-1.823 0.854 0.661
-0.645 -1.960 0.753
-0.915 -0.447 -1.946


11.
meta-GGA SCAN ScTaW4, single point on PBEsol structure; energy relative to the elements = -0.01 eV/atom; calculated volume = 17.4 Å³/atom
1.0
5.287 0.000 0.000
2.643 4.578 0.000
2.643 1.526 4.317
Sc Ta W
1 1 4
Cartesian
7.930 4.578 3.237
0.000 0.000 0.000
3.966 2.290 1.619
5.287 3.052 3.776
6.608 2.290 1.619
5.287 4.577 1.619


12.
meta-GGA SCAN ScTaW2, single point on PBEsol structure; energy relative to the elements = 0.36 eV/atom; calculated volume = 17.2 Å³/atom
1.0
-2.038 -0.671 -1.631
-2.791 -0.447 3.672
-1.409 5.312 -0.425
Sc Ta W
1 1 2
Cartesian
-2.415 -0.559 1.020
-3.119 2.097 0.808
-1.057 3.985 -0.319
-0.352 1.328 -0.106


13.
meta-GGA SCAN Sc2TaW, single point on PBEsol structure; energy relative to the elements = 0.61 eV/atom; calculated volume = 18.3 Å³/atom
1.0
-4.348 0.073 1.779
-2.513 -3.963 0.225
-0.869 -1.997 4.163
Sc Ta W
2 1 1
Cartesian
-1.933 -1.472 1.542
-5.798 -4.415 4.625
0.000 0.000 0.000
-3.865 -2.944 3.083


14.
meta-GGA SCAN Sc4TaW, single point on PBEsol structure; energy relative to the elements = 0.83 eV/atom; calculated volume = 19.2 Å³/atom
1.0
5.460 0.000 0.000
2.730 4.729 0.000
2.730 1.576 4.458
Sc Ta W
4 1 1
Cartesian
6.827 3.942 2.787
5.460 1.574 2.787
4.093 3.942 2.787
5.460 3.153 0.555
2.730 1.576 1.115
0.000 0.000 0.000


15.
meta-GGA SCAN ScTaW2, single point on PBEsol structure; energy relative to the elements = 0.35 eV/atom; calculated volume = 17.2 Å³/atom
1.0
-1.878 1.532 1.203
-1.339 -0.362 -4.672
-2.870 -4.446 1.180
Sc Ta W
1 1 2
Cartesian
-1.435 -2.223 0.590
-0.939 0.766 0.602
-4.224 -2.363 -0.543
-1.864 -0.913 -1.746


16.
meta-GGA SCAN Sc2TaW, single point on PBEsol structure; energy relative to the elements = 0.40 eV/atom; calculated volume = 18.6 Å³/atom
1.0
-1.349 1.423 2.209
0.246 -1.000 2.768
7.655 5.725 2.962
Sc Ta W
2 1 1
Cartesian
1.597 1.508 1.978
4.955 4.639 5.962
3.276 3.074 3.970
0.000 0.000 0.000


17.
meta-GGA SCAN Y2ScTa, single point on PBEsol structure; energy relative to the elements = 0.33 eV/atom; calculated volume = 24.1 Å³/atom
1.0
3.162 0.000 0.000
-1.581 5.263 0.013
0.000 -0.824 5.801
Sc Ta Y
1 1 2
Cartesian
0.000 4.762 2.776
1.581 2.440 1.556
0.000 0.096 0.131
0.000 1.992 4.265


18.
meta-GGA SCAN YScTa, single point on PBEsol structure; energy relative to the elements = 0.99 eV/atom; calculated volume = 26.6 Å³/atom
1.0
-3.242 3.455 0.939
-1.204 1.005 4.569
1.415 4.157 2.012
Sc Ta Y
1 1 1
Cartesian
-1.515 4.308 3.760
-2.273 6.462 5.640
0.000 0.000 0.000


19.
meta-GGA SCAN YScTa2, single point on PBEsol structure; energy relative to the elements = 0.44 eV/atom; calculated volume = 20.7 Å³/atom
1.0
-2.249 2.008 -0.498
-2.818 -0.991 -0.641
-3.944 0.292 9.614
Sc Ta Y
1 2 1
Cartesian
0.000 0.000 0.000
-2.233 0.327 2.032
-6.779 0.981 6.443
-4.506 0.654 4.238


20.
meta-GGA SCAN Y2ScTa, single point on PBEsol structure; energy relative to the elements = 0.36 eV/atom; calculated volume = 24.0 Å³/atom
1.0
4.587 0.000 0.000
0.000 4.623 0.000
-2.293 -2.312 4.532
Sc Ta Y
1 1 2
Cartesian
2.293 2.312 0.017
0.000 2.312 2.245
2.293 2.312 4.529
2.293 0.000 2.273